(1)
Density functional theory data (PBE) for a relaxed VP2H crystal.

a = 4.825 Å, b = 4.825 Å, c = 4.825 Å
α = 110.43°, β = 110.43°, γ = 107.57°
Fractional coordinates of all 8 atoms:
V1 0.000 0.000 0.000
V2 0.750 0.250 0.500
P1 0.211 0.125 0.586
P2 0.375 0.789 0.914
P3 0.539 0.625 0.414
P4 0.875 0.461 0.086
H1 0.250 0.750 0.500
H2 0.500 0.500 0.000

The total energy is -0.41747 Ry per atom. As for the space-group type: No. 122.



(2)
Density functional theory data (PBE) for a relaxed VPH2 crystal.

a = 3.637 Å, b = 3.637 Å, c = 3.637 Å
α = 60.00°, β = 60.00°, γ = 60.00°
Fractional coordinates of all 4 atoms:
V1 0.000 0.000 0.000
P1 0.500 0.500 0.500
H1 0.250 0.250 0.250
H2 0.750 0.750 0.750

The total energy is -0.35108 Ry per atom. As for the space-group type: No. 225.



What did the second record say?
Density functional theory data (PBE) for a relaxed VPH2 crystal.

a = 3.637 Å, b = 3.637 Å, c = 3.637 Å
α = 60.00°, β = 60.00°, γ = 60.00°
Fractional coordinates of all 4 atoms:
V1 0.000 0.000 0.000
P1 0.500 0.500 0.500
H1 0.250 0.250 0.250
H2 0.750 0.750 0.750

The total energy is -0.35108 Ry per atom. As for the space-group type: No. 225.